# DyZrBeCo (PBE, relaxed)
# Total energy ... -96.3 eV/cell
# M_tot ... 0.5 μB/f.u.
# Energy of formation from the pure elements ... -0.022 eV per atom
data_DyZrBeCo
_chemical_formula_sum 'Dy4 Zr4 Be4 Co4'
_space_group_name_H-M_alt 'F -4 3 m'
_space_group_IT_number 216
_space_group_name_Hall 'F -4 2 3'
_cell_length_a 6.561
_cell_length_b 6.561
_cell_length_c 6.561
_cell_angle_alpha 90.00
_cell_angle_beta 90.00
_cell_angle_gamma 90.00
loop_
_atom_site_label
_atom_site_type_symbol
_atom_site_fract_x
_atom_site_fract_y
_atom_site_fract_z
Dy1 Dy 0.000 0.000 0.000
Zr1 Zr 0.000 0.000 0.500
Be1 Be 0.250 0.250 0.250
Co1 Co 0.250 0.250 0.750



# Er2Be16Co (PBE, relaxed)
# Total energy ... -237.7 eV/cell
# M_tot ... 0.0 μB/f.u.
# Energy of formation from the pure elements ... -0.178 eV per atom
data_Er2Be16Co
_chemical_formula_sum 'Er6 Be48 Co3'
_space_group_name_H-M_alt 'R 3 m'
_space_group_IT_number 160
_space_group_name_Hall 'R 3 -2"'
_cell_length_a 7.7241
_cell_length_b 7.7241
_cell_length_c 11.2437
_cell_angle_alpha 90.00
_cell_angle_beta 90.00
_cell_angle_gamma 120.00
loop_
_atom_site_label
_atom_site_type_symbol
_atom_site_fract_x
_atom_site_fract_y
_atom_site_fract_z
Er1 Er 0.0000 0.0000 0.0000
Er2 Er 0.0000 0.0000 0.3197
Be1 Be 0.0000 0.0000 0.5656
Be2 Be 0.9997 0.2749 0.6639
Be3 Be 0.0090 0.5045 0.5017
Be4 Be 0.1691 0.3381 0.1554
Be5 Be 0.1693 0.3386 0.4954
Co1 Co 0.0000 0.0000 0.7573



# Er2BeCo (PBE, relaxed)
# Total energy ... -41.3 eV/cell
# M_tot ... 0.0 μB/f.u.
# Energy of formation from the pure elements ... -0.175 eV per atom
data_Er2BeCo
_chemical_formula_sum 'Er4 Be2 Co2'
_space_group_name_H-M_alt 'C 1 m 1'
_space_group_IT_number 8
_cell_length_a 6.590
_cell_length_b 3.795
_cell_length_c 7.050
_cell_angle_alpha 90.00
_cell_angle_beta 108.07
_cell_angle_gamma 90.00
loop_
_space_group_symop_operation_xyz
'x,y,z'
'x,-y,z'
'x+1/2,y+1/2,z'
'x+1/2,-y+1/2,z'
loop_
_atom_site_label
_atom_site_type_symbol
_atom_site_fract_x
_atom_site_fract_y
_atom_site_fract_z
Er1 Er 0.000 0.000 0.000
Er2 Er 0.175 0.000 0.527
Be1 Be 0.421 0.000 0.263
Co1 Co 0.254 0.500 0.264



# Er3Be2Co7 (PBE, relaxed)
# Total energy ... -222.5 eV/cell
# M_tot ... 5.4 μB/f.u.
# Energy of formation from the pure elements ... -0.273 eV per atom
data_Er3Be2Co7
_chemical_formula_sum 'Er9 Be6 Co21'
_space_group_name_H-M_alt 'R -3 m'
_space_group_IT_number 166
_space_group_name_Hall '-R 3 2"'
_cell_length_a 4.9502
_cell_length_b 4.9502
_cell_length_c 22.9757
_cell_angle_alpha 90.00
_cell_angle_beta 90.00
_cell_angle_gamma 120.00
loop_
_atom_site_label
_atom_site_type_symbol
_atom_site_fract_x
_atom_site_fract_y
_atom_site_fract_z
Er1 Er 0.0000 0.0000 0.0000
Er2 Er 0.0000 0.0000 0.1402
Be1 Be 0.0000 0.0000 0.3339
Co1 Co 0.0000 0.0000 0.5000
Co2 Co 0.0008 0.5004 0.9227



Question: Which of these has the highest total energy?
Answer: Er2BeCo



Question: Among the records above, which one has the highest M_tot?
Answer: Er3Be2Co7



Question: Which value of energy of formation from the pure elements does entry 2 give?
Answer: -0.178 eV per atom